LaAgTe2 | PBEsol | optimized geometry

magnetic moment = 0.000 μB/f.u.
final energy = -4.81 eV/atom
formation energy (no corrections) = -0.881 eV per atom
V = 119.0 Å³ per cell

```
LaAgTe2
1.0
4.552 0.027 0.205
2.252 3.956 0.205
1.990 1.165 6.748
Te Ag La
2 1 1
Direct
0.242 0.242 0.771
0.758 0.758 0.229
0.500 0.500 0.000
0.000 0.000 0.500
```